No. 1
The following is a PBE-GGA calculation of a geometry-optimized ZrTl2Cl structure, from Alexandria via LeMat-Bulk.

Computed properties:
Total magnetic moment, μB/cell: 0.4
Density, g/cm³: 8.99
Final energy, eV per atom: -3.8714

abc: 3.281 5.357 5.625
angles: 90.00 90.00 90.00
Positions (direct):
Zr (0.000, 0.000, 0.000)
Tl (0.000, 0.500, 0.500)
Tl (0.500, 0.000, 0.500)
Cl (0.500, 0.500, 0.000)

No. 2
The following is a PBE-GGA calculation of a geometry-optimized BeOs2Br structure, from Alexandria via LeMat-Bulk.

Computed properties:
Total magnetic moment, μB/cell: 0.0
Density, g/cm³: 13.33
Final energy, eV per atom: -6.0292

abc: 2.813 2.813 8.287
angles: 90.00 90.00 116.86
Positions (direct):
Be (0.000, 0.000, 0.000)
Os (0.500, 0.500, 0.201)
Os (0.500, 0.500, 0.799)
Br (0.000, 0.000, 0.500)

| no. | offset from the most stable computed form (kJ/mol of formula units) |
| --- | --- |
| 1 | 175 |
| 2 | 151 |